1.
## NbTc2NiC (GGA-PBE)

Data for an optimized crystal structure of NbTc2NiC.

Output
- energy relative to the elements (eV/atom) = -0.0285
- space-group type = P4/mmm (123)

abc: 4.143 4.143 3.775
angles: 90.00 90.00 90.00
Last column: magnetic moment on the atom in μB.
Fractional positions:
C (0.000, 0.000, 0.000)  -0.01
Ni (0.000, 0.000, 0.500)  0.13
Tc (0.000, 0.500, 0.000)  0.20
Tc (0.500, 0.000, 0.000)  0.20
Nb (0.500, 0.500, 0.500)  -0.09



2.
## LiCuRu2 (GGA-PBE)

Data for an optimized crystal structure of LiCuRu2.

Output
- energy relative to the elements (eV/atom) = 0.1638
- space-group type = F-43m (216)
- excess energy over the best structure of this formula in the dataset (meV per atom) = 25

abc: 5.923 5.923 5.923
angles: 90.00 90.00 90.00
Fractional positions:
Ru (0.250, 0.750, 0.250)
Ru (0.250, 0.250, 0.750)
Ru (0.000, 0.500, 0.500)
Ru (0.750, 0.750, 0.750)
Ru (0.000, 0.000, 0.000)
Ru (0.750, 0.250, 0.250)
Ru (0.500, 0.000, 0.500)
Ru (0.500, 0.500, 0.000)
Li (0.750, 0.750, 0.250)
Li (0.750, 0.250, 0.750)
Li (0.250, 0.250, 0.250)
Li (0.250, 0.750, 0.750)
Cu (0.500, 0.500, 0.500)
Cu (0.500, 0.000, 0.000)
Cu (0.000, 0.500, 0.000)
Cu (0.000, 0.000, 0.500)



3.
## RbTl2Sn6 (GGA-PBE)

Data for an optimized crystal structure of RbTl2Sn6.

Output
- energy relative to the elements (eV/atom) = -0.0099
- space-group type = P6/mmm (191)
- excess energy over the best structure of this formula in the dataset (meV per atom) = 5

abc: 3.322 9.660 9.660
angles: 120.00 90.00 90.00
Fractional positions:
Sn (0.500, 0.000, 0.344)
Sn (0.500, 0.344, 0.344)
Sn (0.500, 0.344, 0.000)
Sn (0.500, 0.656, 0.000)
Sn (0.500, 0.656, 0.656)
Sn (0.500, 0.000, 0.656)
Tl (0.000, 0.667, 0.333)
Tl (0.000, 0.333, 0.667)
Rb (0.000, 0.000, 0.000)



4.
## AcGaAgAs (GGA-PBE)

Data for an optimized crystal structure of AcGaAgAs.

Output
- energy relative to the elements (eV/atom) = -0.3634
- space-group type = F-43m (216)

abc: 5.247 5.247 5.247
angles: 60.00 60.00 60.00
Fractional positions:
Ac (0.500, 0.500, 0.500)
Ag (0.250, 0.250, 0.250)
Ga (0.000, 0.000, 0.000)
As (0.750, 0.750, 0.750)



5.
## Sm3Al2Cu6 (GGA-PBE)

Data for an optimized crystal structure of Sm3Al2Cu6.

Output
- energy relative to the elements (eV/atom) = -0.2960
- space-group type = Im-3m (229)

abc: 8.036 8.036 8.036
angles: 109.47 109.47 109.47
Fractional positions:
Cu (0.332, 0.000, 0.668)
Cu (0.332, 0.664, 0.332)
Cu (0.668, 0.000, 0.332)
Cu (0.668, 0.668, 0.336)
Cu (0.000, 0.332, 0.668)
Cu (0.668, 0.332, 0.000)
Cu (0.332, 0.332, 0.664)
Cu (0.000, 0.668, 0.332)
Cu (0.332, 0.668, 0.000)
Cu (0.664, 0.332, 0.332)
Cu (0.668, 0.336, 0.668)
Cu (0.336, 0.668, 0.668)
Al (0.000, 0.500, 0.000)
Al (0.500, 0.500, 0.500)
Al (0.500, 0.000, 0.000)
Al (0.000, 0.000, 0.500)
Sm (0.000, 0.719, 0.719)
Sm (0.719, 0.719, 0.000)
Sm (0.281, 0.281, 0.000)
Sm (0.281, 0.000, 0.281)
Sm (0.000, 0.281, 0.281)
Sm (0.719, 0.000, 0.719)



6.
## LaMoN3 (GGA-PBE)

Data for an optimized crystal structure of LaMoN3.

Output
- VASP energy (Ry/atom) = -0.66429
- space-group type = Ama2 (40)

abc: 3.960 5.764 7.786
angles: 111.72 90.00 90.00
Fractional positions:
La (0.557, 0.192, 0.581)
La (0.057, 0.845, 0.886)
Mo (0.057, 0.659, 0.408)
Mo (0.557, 0.484, 0.058)
N (0.557, 0.147, 0.956)
N (0.057, 0.959, 0.609)
N (0.557, 0.583, 0.857)
N (0.057, 0.585, 0.121)
N (0.057, 0.424, 0.510)
N (0.557, 0.697, 0.345)



7.
## BaCd2GaRh2 (GGA-PBE)

Data for an optimized crystal structure of BaCd2GaRh2.

Output
- energy relative to the elements (eV/atom) = -0.2965
- space-group type = P4/mmm (123)

abc: 4.726 4.726 6.421
angles: 90.00 90.00 90.00
Fractional positions:
Cd (0.500, 0.500, 0.750)
Cd (0.500, 0.500, 0.250)
Rh (0.500, 0.000, 0.000)
Rh (0.000, 0.500, 0.000)
Ga (0.000, 0.000, 0.000)
Ba (0.000, 0.000, 0.500)



8.
## K3HgPd2Cl9 (GGA-PBE)

Data for an optimized crystal structure of K3HgPd2Cl9.

Output
- VASP energy (Ry/atom) = -0.22811
- space-group type = P-3m1 (164)

abc: 7.187 7.187 8.836
angles: 90.00 90.00 120.00
Fractional positions:
K (0.000, 0.000, 0.000)
K (0.333, 0.667, 0.673)
K (0.667, 0.333, 0.327)
Cl (0.828, 0.172, 0.681)
Cl (0.500, 0.500, 0.000)
Cl (0.172, 0.344, 0.319)
Cl (0.172, 0.828, 0.319)
Cl (0.828, 0.656, 0.681)
Cl (0.344, 0.172, 0.681)
Cl (0.500, 0.000, 0.000)
Cl (0.000, 0.500, 0.000)
Cl (0.656, 0.828, 0.319)
Pd (0.667, 0.333, 0.845)
Pd (0.333, 0.667, 0.155)
Hg (0.000, 0.000, 0.500)



9.
## ZrAsPN2 (GGA-PBE)

Data for an optimized crystal structure of ZrAsPN2.

Output
- VASP energy (Ry/atom) = -0.46827
- space-group type = P4/mmm (123)

abc: 3.594 5.927 3.594
angles: 90.00 90.00 90.00
Last column: magnetic moment on the atom in μB.
Fractional positions:
As (0.500, 0.500, 0.500)  -0.01
Zr (0.000, 0.500, 0.000)  -0.02
N (0.500, 0.000, 0.000)  0.16
N (0.000, 0.000, 0.500)  0.21
P (0.000, 0.000, 0.000)  -0.01



10.
## BeAlHg (GGA-PBE)

Data for an optimized crystal structure of BeAlHg.

Output
- energy relative to the elements (eV/atom) = 0.1904
- space-group type = P2_1/m (11)
- excess energy over the best structure of this formula in the dataset (meV per atom) = 20

abc: 3.646 3.646 7.535
angles: 90.00 95.07 90.00
Fractional positions:
Hg (0.233, 0.750, 0.392)
Hg (0.767, 0.250, 0.608)
Be (0.017, 0.750, 0.075)
Be (0.983, 0.250, 0.925)
Al (0.530, 0.250, 0.145)
Al (0.470, 0.750, 0.855)



11.
## InOs2Pb (GGA-PBE)

Data for an optimized crystal structure of InOs2Pb.

Output
- energy relative to the elements (eV/atom) = 0.7476
- space-group type = Imm2 (44)
- excess energy over the best structure of this formula in the dataset (meV per atom) = 251

abc: 6.544 6.544 6.544
angles: 153.59 139.42 49.07
Fractional positions:
Pb (0.539, 0.539, 0.000)
Os (0.761, 0.261, 0.500)
Os (0.938, 0.938, 0.000)
In (0.262, 0.762, 0.500)



Table of size of the total moment (μB/f.u.), in record order: 0.4 0.0 0.0 0.0 0.0 0.0 0.0 0.0 0.4 0.0 0.0
Table of D(E_F) (states/eV per cell), in record order: 3.8 12.8 4.8 3.3 13.8 0.0 4.0 3.0 2.5 1.1 3.2
Table of ρ (Mg/m³), in record order: 9.219 8.716 7.462 7.795 7.370 5.569 7.382 3.570 4.883 7.875 14.436